Computed, not measured: crystalline Nd3Y2Tm5 at its relaxed geometry at the PBE-GGA level of DFT.

Cell and atoms, written as POSCAR:
```
Nd3Y2Tm5
1.0
5.324 -7.889 0.000
5.324 7.889 0.000
-5.309 0.000 7.816
Nd Y Tm
6 4 10
direct
0.024 0.271 0.047 Nd
0.233 0.767 0.750 Nd
0.271 0.024 0.547 Nd
0.729 0.976 0.453 Nd
0.767 0.233 0.250 Nd
0.976 0.729 0.953 Nd
0.232 0.468 0.452 Y
0.468 0.232 0.952 Y
0.532 0.768 0.048 Y
0.768 0.532 0.548 Y
0.025 0.975 0.750 Tm
0.142 0.369 0.761 Tm
0.271 0.729 0.250 Tm
0.369 0.142 0.261 Tm
0.472 0.528 0.250 Tm
0.528 0.472 0.750 Tm
0.631 0.858 0.739 Tm
0.729 0.271 0.750 Tm
0.858 0.631 0.239 Tm
0.975 0.025 0.250 Tm
```

The crystal system is monoclinic. The formation energy is 0.20 eV/atom. The calculation puts the raw total energy at -95.3 eV/cell. The density of states at the Fermi level comes out at 1.74 states/eV per atom. The magnetic moment comes out at 0.00 μB/f.u.